VASP calculation (meta-GGA SCAN) on a PBEsol-optimized structure of LaY2TaB.

```
LaY2TaB
1.0
4.8617 0.0000 0.0000
0.0000 5.3824 0.0000
0.0000 0.0000 5.3824
Y Ta La B
2 1 1 1
direct
0.0000 0.0000 0.5000
0.0000 0.5000 0.0000
0.5000 0.0000 0.0000
0.0000 0.0000 0.0000
0.5000 0.5000 0.5000
```

Formation energy from the elements = 1050 kJ/mol of formula units

***

VASP calculation (meta-GGA SCAN) on a PBEsol-optimized structure of AlZn2Re.

```
AlZn2Re
1.0
-2.2820 -0.6859 1.3985
0.0919 -2.0101 1.8933
1.2719 4.9906 7.2526
Re Zn Al
1 2 1
direct
0.0000 0.0000 0.0000
0.2509 0.2509 0.2474
0.7491 0.7491 0.7526
0.5000 0.5000 0.5000
```

Formation energy from the elements = 56 kJ/mol of formula units